1.
Computed, not measured: a geometry-optimized La3NdTlIr structure at the PBE level of DFT.

extended XYZ file:
```
12
Lattice="8.654 0.689 -2.875 4.664 7.322 -2.875 -0.018 -0.011 6.162" Properties=species:S:1:pos:R:3 pbc="T T T"
Ir -0.002 -0.001 1.471
Nd 5.866 5.302 0.206
La 2.375 1.429 3.047
La 7.260 6.642 -2.895
La 9.269 3.301 -2.895
Tl 4.058 2.441 0.110
Ir 13.301 8.001 -1.059
La 4.030 4.699 3.307
Tl 9.241 5.559 0.302
La 10.925 6.572 -2.635
La 6.039 1.358 3.307
Nd 7.433 2.698 0.206
```

## Properties
* ρ: 8590 kg/m³
* raw total energy: -5.54 eV per atom
* symmetry: No. 12

***

2.
Computed, not measured: a geometry-optimized Ho5TmRu4 structure at the PBE level of DFT.

extended XYZ file:
```
10
Lattice="-3.266 -1.251 -3.295 4.859 -2.380 -3.914 0.990 -5.800 4.725" Properties=species:S:1:pos:R:3 pbc="T T T"
Ru -1.065 -7.631 0.450
Ru 0.780 -4.906 1.089
Tm -1.633 -0.626 -1.647
Ru 1.803 -4.525 -3.573
Ho 2.222 -3.334 -0.937
Ho 0.361 -6.097 -1.546
Ho -0.202 -2.139 1.013
Ru 3.648 -1.800 -2.933
Ho 2.786 -7.292 -3.497
Ho 0.796 -1.816 -3.604
```

## Properties
* ρ: 10112 kg/m³
* raw total energy: -6.75 eV per atom
* symmetry: No. 12

***

3.
Computed, not measured: a geometry-optimized KNa2SnCl5 structure at the PBE level of DFT.

extended XYZ file:
```
18
Lattice="4.317 0.000 0.000 -2.158 9.004 0.000 0.000 0.000 14.461" Properties=species:S:1:pos:R:3 pbc="T T T"
Na 2.158 6.454 3.034
Sn 2.158 0.094 13.942
Cl 2.158 7.814 8.021
Cl 2.158 2.076 4.937
Na 2.158 5.838 10.604
Sn 0.000 8.910 6.712
Cl 2.158 4.073 1.829
Cl 0.000 7.333 1.335
K 0.000 4.361 14.058
Cl 2.158 1.671 8.565
K 2.158 4.643 6.827
Cl 0.000 1.190 0.791
Cl 0.000 4.931 9.059
Cl 0.000 5.849 4.770
Cl 0.000 6.928 12.167
Cl 2.158 3.155 12.000
Na 0.000 3.166 3.373
Na 0.000 2.550 10.264
```

## Properties
* ρ: 2251 kg/m³
* raw formation energy: -13.67 eV/f.u.
* raw total energy: -3.40 eV per atom
* symmetry: No. 36

***

4.
Computed, not measured: a geometry-optimized Ac12NdCo7 structure at the PBE level of DFT.

extended XYZ file:
```
20
Lattice="8.864 -0.152 -2.671 -3.554 8.122 -2.671 -0.101 -0.152 9.258" Properties=species:S:1:pos:R:3 pbc="T T T"
Ac 7.008 2.288 3.915
Ac 3.597 7.349 -1.653
Co -1.052 2.838 0.118
Co 4.255 7.695 1.042
Ac 3.504 4.255 4.665
Co 0.954 0.123 2.872
Ac -1.799 5.530 0.000
Ac -0.087 6.150 5.643
Ac 3.383 1.145 1.846
Ac 0.011 2.946 2.736
Ac 5.198 4.872 1.179
Co 2.520 6.891 4.958
Ac 1.705 3.563 -0.750
Ac 1.826 6.673 2.068
Co 6.260 4.980 3.797
Ac 1.612 0.470 5.568
Co 2.688 0.928 -1.043
Co 2.604 3.909 1.957
Ac 5.296 1.668 -1.728
Nd 0.000 0.000 0.000
```

## Properties
* ρ: 8327 kg/m³
* raw total energy: -5.20 eV per atom
* symmetry: No. 148

***

5.
Computed, not measured: a geometry-optimized Na3IrRh2S6 structure at the PBE level of DFT.

extended XYZ file:
```
12
Lattice="6.339 -0.001 0.000 -3.169 5.490 0.000 -1.057 -1.831 6.233" Properties=species:S:1:pos:R:3 pbc="T T T"
S 2.117 3.665 1.169
Na 1.057 1.830 3.117
S 2.107 0.000 1.168
Rh 0.001 3.660 0.000
Na 4.220 0.002 3.117
S 3.166 1.834 5.066
S -1.053 1.825 1.168
Ir 0.000 0.000 0.000
S 0.006 3.659 5.066
S -0.003 -0.006 5.065
Na -2.107 3.657 3.117
Rh 3.170 1.830 0.000
```

## Properties
* ρ: 5047 kg/m³
* raw formation energy: -8.64 eV/f.u.
* raw total energy: -5.08 eV per atom
* symmetry: No. 12

***

6.
Computed, not measured: a geometry-optimized La2Pm3PrN6 structure at the PBE level of DFT.

extended XYZ file:
```
12
Lattice="3.671 0.000 0.000 0.000 7.347 0.258 -1.835 -2.122 7.723" Properties=species:S:1:pos:R:3 pbc="T T T"
La 0.000 1.735 2.655
N 0.000 5.490 0.213
N 0.000 5.347 5.379
Pm 0.000 5.420 2.778
N 0.000 1.605 5.287
La 1.835 3.490 5.326
N 1.835 -0.264 7.768
Pr 1.835 0.000 0.000
Pm 1.835 3.674 0.129
Pm 1.835 -0.195 5.204
N 1.835 -0.122 2.602
N 1.835 3.620 2.695
```

## Properties
* ρ: 7404 kg/m³
* raw formation energy: -16.38 eV/f.u.
* raw total energy: -7.94 eV per atom
* symmetry: No. 12

***

7.
Computed, not measured: a geometry-optimized Ac2ErTe2As2 structure at the PBE level of DFT.

extended XYZ file:
```
7
Lattice="-1.304 1.797 4.755 4.008 -2.655 2.103 3.721 7.171 -4.586" Properties=species:S:1:pos:R:3 pbc="T T T"
Ac 3.814 5.069 -0.870
Ac 2.611 1.244 3.142
As 2.004 -1.328 1.052
Te 1.835 2.439 -0.418
As -0.652 0.899 2.377
Er 0.000 0.000 0.000
Te 4.590 3.874 2.691
```

## Properties
* ρ: 7266 kg/m³
* raw formation energy: -8.74 eV/f.u.
* raw total energy: -5.30 eV per atom
* symmetry: No. 139

***

8.
Computed, not measured: a geometry-optimized PmZn2Rh structure at the PBE level of DFT.

extended XYZ file:
```
4
Lattice="4.877 0.000 0.000 0.000 3.958 0.000 0.000 0.000 3.958" Properties=species:S:1:pos:R:3 pbc="T T T"
Pm 2.439 1.979 1.979
Zn 0.000 0.000 1.979
Rh 2.439 0.000 0.000
Zn 0.000 1.979 0.000
```

## Properties
* ρ: 8229 kg/m³
* raw total energy: -3.95 eV per atom
* symmetry: No. 123
* polymorph energy (0 for the lowest one): 248.4 meV per atom

***

9.
Computed, not measured: a geometry-optimized Pm2ZrTl2Se6 structure at the PBE level of DFT.

extended XYZ file:
```
11
Lattice="7.170 -0.002 0.057 -3.546 6.232 0.057 -1.301 -2.236 7.757" Properties=species:S:1:pos:R:3 pbc="T T T"
Pm 2.954 0.955 3.935
Se 0.484 0.832 2.316
Se 0.750 5.126 2.386
Se 1.840 3.162 5.555
Se 1.574 -1.132 5.485
Tl 5.347 1.059 0.057
Pm -0.630 3.040 3.935
Tl -1.723 5.172 0.057
Zr -0.650 -1.118 3.878
Se 4.086 3.186 2.386
Se -1.762 0.809 5.485
```

## Properties
* ρ: 6023 kg/m³
* raw formation energy: -14.94 eV/f.u.
* raw total energy: -5.33 eV per atom
* symmetry: No. 12

***

10.
Computed, not measured: a geometry-optimized Tl2ZnPt structure at the PBE level of DFT.

extended XYZ file:
```
4
Lattice="-0.718 4.760 4.187 1.438 -0.401 6.203 1.628 -0.194 -6.166" Properties=species:S:1:pos:R:3 pbc="T T T"
Tl 0.623 3.297 1.430
Tl 0.026 0.155 0.369
Pt 1.732 0.903 2.882
Zn 0.328 1.988 4.739
```

## Properties
* ρ: 12459 kg/m³
* raw total energy: -2.98 eV per atom
* symmetry: No. 44
* polymorph energy (0 for the lowest one): 111.5 meV per atom

***

11.
Computed, not measured: a geometry-optimized Na2SrOs3O12 structure at the PBE level of DFT.

extended XYZ file:
```
18
Lattice="6.766 -0.306 -0.217 3.076 6.034 -0.217 3.076 1.790 5.767" Properties=species:S:1:pos:R:3 pbc="T T T"
O 4.488 0.996 0.707
Na 7.943 4.623 3.279
O 8.429 6.523 4.626
O 7.584 1.812 4.043
O 7.584 4.415 0.374
O 5.333 3.104 4.959
Sr 0.000 0.000 0.000
O 9.834 4.108 4.626
O 7.596 1.819 1.290
Na 4.974 2.895 2.054
O 3.083 1.794 2.985
Os 3.383 -0.153 -0.108
O 5.333 5.706 1.290
O 5.321 5.700 4.043
Os 1.538 3.017 -0.108
Os 1.538 0.895 2.883
O 3.083 3.410 0.707
O 9.834 5.724 2.348
```

## Properties
* ρ: 6037 kg/m³
* raw formation energy: -24.06 eV/f.u.
* raw total energy: -6.75 eV per atom
* symmetry: No. 166

***

12.
Computed, not measured: a geometry-optimized Ti2Ni8Sb structure at the PBE level of DFT.

extended XYZ file:
```
11
Lattice="-0.794 1.512 -3.295 -1.061 -5.355 -2.201 -5.308 1.453 4.036" Properties=species:S:1:pos:R:3 pbc="T T T"
Ni -5.227 -1.091 0.759
Ti -3.947 0.168 -1.062
Ni -1.936 -1.299 -2.219
Ni -3.733 0.909 1.317
Ni -5.917 1.265 -0.084
Sb -0.397 0.756 -1.648
Ni -1.883 -0.400 0.270
Ti -3.216 -2.558 -0.399
Ni -3.430 -3.300 -2.777
Ni -1.246 -3.655 -1.377
Ni -5.281 -1.990 -1.730
```

## Properties
* ρ: 8297 kg/m³
* raw formation energy: -3.13 eV/f.u.
* raw total energy: -6.30 eV per atom
* symmetry: No. 12